[1]
Here is CaBeB2Pt after structural relaxation from Alexandria. Energies are from GGA-PBE.

abc: 4.285 4.285 4.768
angles: 90.00 90.00 90.00
Positions (direct):
Ca (0.000, 0.000, 0.000)
Be (0.000, 0.000, 0.500)
B (0.000, 0.500, 0.000)
B (0.500, 0.000, 0.000)
Pt (0.500, 0.500, 0.500)

Values from the calculation:
ρ: 5.04 g/cm³
DOS at the Fermi energy: 0.6537 states/eV per atom
calculated formation energy: 2595.1 meV/atom

---

[2]
Here is TiTeRuO6 after structural relaxation from Alexandria. Energies are from GGA-PBE.

abc: 5.245 5.245 8.666
angles: 90.00 90.00 120.00
Positions (direct):
Ti (0.333, 0.667, 0.250)
Ti (0.667, 0.333, 0.750)
Te (0.333, 0.667, 0.750)
Te (0.667, 0.333, 0.250)
Ru (0.000, 0.000, 0.000)
Ru (0.000, 0.000, 0.500)
O (0.025, 0.339, 0.127)
O (0.025, 0.686, 0.373)
O (0.314, 0.339, 0.373)
O (0.314, 0.975, 0.127)
O (0.339, 0.025, 0.627)
O (0.339, 0.314, 0.873)
O (0.661, 0.686, 0.127)
O (0.661, 0.975, 0.373)
O (0.686, 0.025, 0.873)
O (0.686, 0.661, 0.627)
O (0.975, 0.314, 0.627)
O (0.975, 0.661, 0.873)

Values from the calculation:
ρ: 5.99 g/cm³
ΔE_f (raw): -1.45 eV/atom
DOS at the Fermi energy: 0.5439 states/eV per atom

---

[3]
Here is Hf6Tl3Os after structural relaxation from Alexandria. Energies are from GGA-PBE.

abc: 5.404 8.830 11.037
angles: 90.00 118.89 90.00
Positions (direct):
Hf (0.011, 0.213, 0.430)
Hf (0.011, 0.287, 0.930)
Hf (0.376, 0.116, 0.231)
Hf (0.376, 0.384, 0.731)
Hf (0.376, 0.666, 0.465)
Hf (0.376, 0.834, 0.965)
Hf (0.624, 0.166, 0.035)
Hf (0.624, 0.334, 0.535)
Hf (0.624, 0.616, 0.269)
Hf (0.624, 0.884, 0.769)
Hf (0.989, 0.713, 0.070)
Hf (0.989, 0.787, 0.570)
Tl (0.123, 0.084, 0.736)
Tl (0.123, 0.416, 0.236)
Tl (0.500, 0.000, 0.500)
Tl (0.500, 0.500, 0.000)
Tl (0.877, 0.584, 0.764)
Tl (0.877, 0.916, 0.264)
Os (0.000, 0.000, 0.000)
Os (0.000, 0.500, 0.500)

Values from the calculation:
ρ: 13.50 g/cm³
DOS at the Fermi energy: 0.7963 states/eV per atom
calculated formation energy: 126.2 meV/atom

---

Number 1: calculated total energy -12.1 eV for the cell shown. Number 2: calculated total energy -126.3 eV for the cell shown. Number 3: calculated total energy -153.6 eV for the cell shown.